(1)
First-principles (PBE) data for crystalline GdErBi at its relaxed geometry, as listed in OQMD via LeMat-Bulk.

Properties
* total DFT energy (no corrections): -56.5 eV/cell
* total magnetic moment: 0.0 μB/f.u.

Unit cell a=7.3042 b=7.3042 c=7.3042 alpha=90.00 beta=90.00 gamma=90.00
Sites, in units of the cell vectors:
Gd  0.0000  0.0000  0.0000
Gd  0.0000  0.5000  0.5000
Gd  0.5000  0.0000  0.5000
Gd  0.5000  0.5000  0.0000
Er  0.0000  0.0000  0.5000
Er  0.0000  0.5000  0.0000
Er  0.5000  0.0000  0.0000
Er  0.5000  0.5000  0.5000
Bi  0.2500  0.2500  0.7500
Bi  0.2500  0.7500  0.2500
Bi  0.7500  0.2500  0.2500
Bi  0.7500  0.7500  0.7500



(2)
First-principles (PBE) data for crystalline TaHgO3 at its relaxed geometry, as listed in OQMD via LeMat-Bulk.

Properties
* total DFT energy (no corrections): -36.2 eV/cell
* total magnetic moment: 0.0 μB/f.u.

Unit cell a=3.9503 b=3.9503 c=4.1714 alpha=90.00 beta=90.00 gamma=90.00
Sites, in units of the cell vectors:
Ta  0.0000  0.0000  0.0000
Hg  0.5000  0.5000  0.5145
O  0.0000  0.0000  0.5488
O  0.0000  0.5000  0.0578
O  0.5000  0.0000  0.0578